No. 1
Below is an optimized crystal structure of HoErNi, with properties calculated at the GGA-PBE level.

Cell: 6.639 6.639 6.639 Å, 90.00 90.00 90.00°
Space group F-43m (No. 216)
Inequivalent atoms, fractional coordinates:
1 Ho 0.000 0.000 0.000
2 Er 0.000 0.000 0.500
3 Ni 0.250 0.250 0.750

Crystal system: cubic
ΔH_f (0 K), meV/atom: -182

=====

No. 2
Below is an optimized crystal structure of Ho2ErNi2, with properties calculated at the GGA-PBE level.

Cell: 13.198 3.620 9.422 Å, 90.00 105.39 90.00°
Space group C2/m (No. 12)
Inequivalent atoms, fractional coordinates:
1 Ho 0.097 0.000 0.172
2 Ho 0.132 0.500 0.498
3 Er 0.144 0.500 0.868
4 Ni 0.035 0.000 0.645
5 Ni 0.244 0.000 0.727

Crystal system: monoclinic
ΔH_f (0 K), meV/atom: -391